## Pr2Sm3S4 (GGA-PBE)

Data for an optimized crystal structure of Pr2Sm3S4.

Cell lengths 13.3422, 4.0198, 9.8162 Å; angles 90.00, 119.16, 90.00 degrees
Closest atoms and distances in Å follow each position.
Space group C2/m (No. 12)
Unique sites:
Pr 0.1008 0.0000 0.3986  4 S 2.85-2.88
Sm 0.0000 0.5000 0.0000  6 S 2.83-2.85
Sm 0.2044 0.5000 0.8038  5 S 2.78-2.85
S 0.1025 0.0000 0.9027  5 Sm 2.78-2.85, 1 Pr 2.88
S 0.2002 0.5000 0.2965  3 Sm 2.80-2.83, 3 Pr 2.85-2.87

Summary:
Its total magnetic moment is 0.0 μB per formula unit. For the formation energy from raw total energies, the calculation gives -1.7798 eV/atom. Its total energy is -112.5 eV for the cell shown.